No. 1
A relaxed SmDyHoTm crystal. Source: Alexandria via LeMat-Bulk, functional PBE.

Results
The formation enthalpy at 0 K comes out at 0.52 eV per formula unit. As for the magnetization: 0.000 μB per cell. The symmetry is F-43m (216). The total energy comes out at -17.85 eV/f.u.

a = 5.6536 Å, b = 5.6536 Å, c = 5.6536 Å
α = 60.00°, β = 60.00°, γ = 60.00°
With the nearest neighbours (Å) after each atom.
Fractional coordinates of all 4 atoms:
Tm 0.5000 0.5000 0.5000  4 Dy 3.46, 4 Sm 3.46
Ho 0.0000 0.0000 0.0000  4 Dy 3.46, 4 Sm 3.46
Sm 0.2500 0.2500 0.2500  4 Ho 3.46, 4 Tm 3.46
Dy 0.7500 0.7500 0.7500  4 Tm 3.46, 4 Ho 3.46

No. 2
A relaxed Sm4Dy2Ho2Tm crystal. Source: Alexandria via LeMat-Bulk, functional PBE.

Results
The formation enthalpy at 0 K comes out at 0.18 eV per formula unit. As for the magnetization: 0.000 μB per cell. The symmetry is C2/m (12). The total energy comes out at -41.53 eV/f.u.

a = 5.0456 Å, b = 7.9873 Å, c = 7.9787 Å
α = 107.49°, β = 90.00°, γ = 108.41°
With the nearest neighbours (Å) after each atom.
Fractional coordinates of all 9 atoms:
Sm 0.7775 0.5551 0.6678  3 Ho 3.56, 3 Dy 3.57-3.60, 1 Tm 3.57, 5 Sm 3.58-3.59
Sm 0.2225 0.4449 0.3322  3 Ho 3.56, 3 Dy 3.57-3.60, 1 Tm 3.57, 5 Sm 3.58-3.59
Sm 0.5546 0.1092 0.3315  2 Ho 3.55-3.57, 2 Tm 3.56, 4 Dy 3.56-3.59, 4 Sm 3.58-3.59
Sm 0.4454 0.8908 0.6685  2 Ho 3.55-3.57, 2 Tm 3.56, 4 Dy 3.56-3.59, 4 Sm 3.58-3.59
Dy 0.8886 0.7772 0.3308  3 Ho 3.55-3.56, 1 Tm 3.55, 7 Sm 3.56-3.60, 1 Dy 3.59
Dy 0.1114 0.2228 0.6692  3 Ho 3.55-3.56, 1 Tm 3.55, 7 Sm 3.56-3.60, 1 Dy 3.59
Ho 0.3335 0.6669 0.0002  5 Sm 3.55-3.57, 3 Dy 3.55-3.56, 2 Tm 3.57, 2 Ho 3.57
Ho 0.6665 0.3331 0.9998  5 Sm 3.55-3.57, 3 Dy 3.55-3.56, 2 Tm 3.57, 2 Ho 3.57
Tm 0.0000 0.0000 0.0000  2 Dy 3.55, 6 Sm 3.56-3.57, 4 Ho 3.57

No. 3
A relaxed Sm3Dy2Ho6Tm crystal. Source: Alexandria via LeMat-Bulk, functional PBE.

Results
The formation enthalpy at 0 K comes out at 0.22 eV per formula unit. As for the magnetization: 0.000 μB per cell. The symmetry is C2/m (12). The total energy comes out at -55.08 eV/f.u.

a = 6.1474 Å, b = 6.1474 Å, c = 11.7437 Å
α = 94.99°, β = 94.99°, γ = 119.96°
With the nearest neighbours (Å) after each atom.
Fractional coordinates of all 12 atoms:
Sm 0.1666 0.8334 0.5000  6 Sm 3.55, 6 Ho 3.57
Sm 0.8334 0.1666 0.5000  6 Sm 3.55, 6 Ho 3.57
Sm 0.5000 0.5000 0.5000  6 Sm 3.55, 6 Ho 3.57
Dy 0.3335 0.6666 0.0000  6 Ho 3.52, 3 Dy 3.55, 3 Tm 3.55
Dy 0.6666 0.3335 0.0000  6 Ho 3.52, 3 Dy 3.55, 3 Tm 3.55
Ho 0.9176 0.5846 0.7528  1 Tm 3.52, 2 Dy 3.52, 6 Ho 3.55, 3 Sm 3.57
Ho 0.7494 0.7494 0.2473  1 Tm 3.52, 2 Dy 3.52, 6 Ho 3.55, 3 Sm 3.57
Ho 0.0824 0.4154 0.2472  1 Tm 3.52, 2 Dy 3.52, 6 Ho 3.55, 3 Sm 3.57
Ho 0.5846 0.9176 0.7528  1 Tm 3.52, 2 Dy 3.52, 6 Ho 3.55, 3 Sm 3.57
Ho 0.2506 0.2506 0.7527  1 Tm 3.52, 2 Dy 3.52, 6 Ho 3.55, 3 Sm 3.57
Ho 0.4154 0.0824 0.2472  1 Tm 3.52, 2 Dy 3.52, 6 Ho 3.55, 3 Sm 3.57
Tm 0.0000 0.0000 0.0000  6 Ho 3.52, 6 Dy 3.55

No. 4
A relaxed Sm6Dy2HoTm crystal. Source: Alexandria via LeMat-Bulk, functional PBE.

Results
The formation enthalpy at 0 K comes out at 1.18 eV per formula unit. As for the magnetization: 0.000 μB per cell. The symmetry is C2/c (15). The total energy comes out at -45.39 eV/f.u.

a = 9.5837 Å, b = 8.8696 Å, c = 8.8696 Å
α = 117.86°, β = 93.86°, γ = 93.86°
With the nearest neighbours (Å) after each atom.
Fractional coordinates of all 20 atoms:
Sm 0.0545 0.1206 0.7593  7 Sm 3.42-3.76, 1 Dy 3.48, 1 Ho 3.66
Sm 0.4455 0.2407 0.8794  7 Sm 3.42-3.76, 1 Dy 3.48, 1 Ho 3.66
Sm 0.9455 0.8794 0.2407  7 Sm 3.42-3.76, 1 Dy 3.48, 1 Ho 3.66
Sm 0.5545 0.7593 0.1206  7 Sm 3.42-3.76, 1 Dy 3.48, 1 Ho 3.66
Sm 0.3130 0.9873 0.4335  2 Sm 3.25-3.60, 1 Dy 3.43, 1 Tm 3.45, 1 Ho 3.57
Sm 0.1870 0.5665 0.0127  2 Sm 3.25-3.60, 1 Dy 3.43, 1 Tm 3.45, 1 Ho 3.57
Sm 0.6870 0.0127 0.5665  2 Sm 3.25-3.60, 1 Dy 3.43, 1 Tm 3.45, 1 Ho 3.57
Sm 0.8130 0.4335 0.9873  2 Sm 3.25-3.60, 1 Dy 3.43, 1 Tm 3.45, 1 Ho 3.57
Sm 0.1187 0.7091 0.4930  4 Sm 3.25-3.61, 3 Dy 3.26-3.44, 2 Tm 3.43-3.54
Sm 0.3813 0.5070 0.2909  4 Sm 3.25-3.61, 3 Dy 3.26-3.44, 2 Tm 3.43-3.54
Sm 0.8813 0.2909 0.5070  4 Sm 3.25-3.61, 3 Dy 3.26-3.44, 2 Tm 3.43-3.54
Sm 0.6187 0.4930 0.7091  4 Sm 3.25-3.61, 3 Dy 3.26-3.44, 2 Tm 3.43-3.54
Dy 0.4550 0.7997 0.6992  5 Sm 3.26-3.48, 2 Ho 3.41-3.42, 1 Tm 3.53
Dy 0.0450 0.3008 0.2003  5 Sm 3.26-3.48, 2 Ho 3.41-3.42, 1 Tm 3.53
Dy 0.5450 0.2003 0.3008  5 Sm 3.26-3.48, 2 Ho 3.41-3.42, 1 Tm 3.53
Dy 0.9550 0.6992 0.7997  5 Sm 3.26-3.48, 2 Ho 3.41-3.42, 1 Tm 3.53
Ho 0.2500 0.9744 0.0256  4 Dy 3.41-3.42, 4 Sm 3.57-3.66
Ho 0.7500 0.0256 0.9744  4 Dy 3.41-3.42, 4 Sm 3.57-3.66
Tm 0.2500 0.4102 0.5898  6 Sm 3.43-3.54, 2 Dy 3.53
Tm 0.7500 0.5898 0.4102  6 Sm 3.43-3.54, 2 Dy 3.53